Material: LiEuHoCo
Method: DFT, PBE
State: optimized geometry

Output
E_form	0.3	eV per formula unit
N(E_F)	2.9	states/eV/f.u.

Cell: 4.9357 4.9357 4.9357 Å, 60.00 60.00 60.00°
Each line ends with the local moment (μB).
Atoms (fractional coordinates):
1 Eu 0.2500 0.2500 0.2500  6.83
2 Co 0.5000 0.5000 0.5000  -0.38
3 Ho 0.7500 0.7500 0.7500  0.18
4 Li 0.0000 0.0000 0.0000  0.04